The following is a DFT calculation (PBE) of a geometry-optimized TiAs2Au structure.

Unit cell a=5.847 b=5.847 c=7.075 alpha=65.59 beta=65.59 gamma=90.00
Atoms (fractional coordinates):
As 0.614 0.125 0.250
As 0.136 0.625 0.250
As 0.375 0.386 0.750
As 0.875 0.864 0.750
Au 0.000 0.000 0.000
Au 0.750 0.250 0.500
Ti 0.500 0.500 0.000
Ti 0.250 0.750 0.500

Fermi-level density of states (states/eV per atom): 1.087
Calculated volume (Å³/atom): 24.5
Total DFT energy (no corrections) (eV per atom): -5.15
DFT formation energy (eV/atom): -0.03

***

The following is a DFT calculation (PBE) of a geometry-optimized CaBeW structure.

Unit cell a=4.371 b=4.371 c=4.371 alpha=60.00 beta=60.00 gamma=60.00
Atoms (fractional coordinates):
Be 0.750 0.750 0.750
Ca 0.000 0.000 0.000
W 0.500 0.500 0.500

Fermi-level density of states (states/eV per atom): 1.157
Calculated volume (Å³/atom): 19.7
Total DFT energy (no corrections) (eV per atom): -4.90
E above lowest polymorph (eV/atom): 0.704
DFT formation energy (eV/atom): 1.33

***

- Look up the DFT formation energy of the second one.
  1.33 eV/atom

***

- What is the formula in the first record?
  TiAs2Au

***

- What is the formula in the second record?
  CaBeW

***

- Look up the DFT formation energy of the second one.
  1.33 eV/atom